DFT (GGA-PBE) results for a relaxed Ti4GaPt7 crystal.

Lattice parameters (Å, degrees): 5.9340 5.9340 9.4172 118.47 118.47 46.52
With the nearest neighbours (Å) after each atom.
Element x y z (fractional)
Ti 0.0849 0.0849 0.2729  8 Pt 2.55-2.78
Ti 0.2473 0.2473 0.8363  5 Pt 2.50-2.74
Ti 0.7527 0.7527 0.1637  5 Pt 2.50-2.74
Ti 0.9151 0.9151 0.7271  8 Pt 2.55-2.78
Ga 0.5000 0.5000 0.5000  2 Pt 2.34
Pt 0.0000 0.0000 0.5000  2 Ga 2.34
Pt 0.1370 0.1370 0.0382  5 Ti 2.55-2.73, 2 Pt 2.68-2.70
Pt 0.2876 0.2876 0.5983  4 Ti 2.50-2.69, 2 Pt 2.74-2.77
Pt 0.4238 0.4238 0.1746  4 Pt 2.70-2.93, 1 Ga 2.73, 5 Ti 2.74-2.96
Pt 0.5762 0.5762 0.8254  4 Pt 2.70-2.93, 1 Ga 2.73, 5 Ti 2.74-2.96
Pt 0.7124 0.7124 0.4017  4 Ti 2.50-2.69, 2 Pt 2.74-2.77
Pt 0.8630 0.8630 0.9618  5 Ti 2.55-2.73, 2 Pt 2.68-2.70

ΔH_f (0 K) (kcal/mol of atoms): -16.0
N(E_F) (states/eV per cell): 9.7
VASP energy (eV per atom): -7.1033
Crystal system: monoclinic